Below is a relaxed structure of Tm6ScAg5, with properties calculated at the PBE level.

a = 5.105 Å, b = 7.189 Å, c = 8.937 Å
α = 113.71°, β = 106.59°, γ = 90.00°
Positions (direct):
Tm 0.500 0.264 0.000
Ag 0.668 0.668 0.336
Tm 0.829 0.577 0.658
Tm 0.500 0.736 0.000
Ag 0.000 0.500 0.000
Tm 0.171 0.919 0.342
Ag 0.649 0.149 0.299
Ag 0.332 0.332 0.664
Tm 0.171 0.423 0.342
Tm 0.829 0.081 0.658
Ag 0.351 0.851 0.701
Sc 0.000 0.000 0.000

Results
Spin magnetization, μB per formula unit: 0.0
Energy of formation from the pure elements, kJ/mol of atoms: -22

---

Below is a relaxed structure of Tm4ScAg, with properties calculated at the PBE level.

a = 5.195 Å, b = 6.230 Å, c = 10.695 Å
α = 90.00°, β = 104.06°, γ = 90.00°
Positions (direct):
Sc 0.864 0.724 0.729
Tm 0.069 0.718 0.139
Ag 0.603 0.975 0.207
Tm 0.259 0.576 0.519
Tm 0.466 0.878 0.932
Tm 0.674 0.563 0.347
Sc 0.136 0.224 0.271
Ag 0.397 0.475 0.793
Tm 0.931 0.218 0.861
Tm 0.741 0.076 0.481
Tm 0.534 0.378 0.068
Tm 0.326 0.063 0.653

Results
Distance to the lowest polymorph of the same formula, eV per formula unit: 0.80
Spin magnetization, μB per formula unit: 0.0
Energy of formation from the pure elements, kJ/mol of atoms: 6

---

Below is a relaxed structure of TmSc3Ag2, with properties calculated at the PBE level.

a = 4.797 Å, b = 6.657 Å, c = 8.607 Å
α = 90.00°, β = 90.00°, γ = 90.00°
Positions (direct):
Ag 0.000 0.259 0.650
Sc 0.000 0.980 0.059
Sc 0.500 0.655 0.170
Sc 0.000 0.480 0.941
Sc 0.000 0.846 0.681
Tm 0.500 0.519 0.561
Ag 0.500 0.240 0.145
Tm 0.500 0.019 0.439
Ag 0.000 0.759 0.350
Ag 0.500 0.740 0.855
Sc 0.500 0.155 0.830
Sc 0.000 0.346 0.319

Results
Distance to the lowest polymorph of the same formula, eV per formula unit: 0.00
Spin magnetization, μB per formula unit: 0.0
Energy of formation from the pure elements, kJ/mol of atoms: -18

---

Below is a relaxed structure of Tm5ScAg4, with properties calculated at the PBE level.

a = 3.549 Å, b = 3.549 Å, c = 19.037 Å
α = 90.00°, β = 90.00°, γ = 90.00°
Positions (direct):
Sc 0.000 0.000 0.000
Tm 0.500 0.500 0.500
Ag 0.000 0.000 0.595
Ag 0.000 0.000 0.788
Tm 0.500 0.500 0.308
Tm 0.500 0.500 0.116
Tm 0.500 0.500 0.692
Tm 0.500 0.500 0.884
Ag 0.000 0.000 0.405
Ag 0.000 0.000 0.212

Results
Spin magnetization, μB per formula unit: 0.0
Energy of formation from the pure elements, kJ/mol of atoms: -25

---

Below is a relaxed structure of TmSc4Ag, with properties calculated at the PBE level.

a = 5.178 Å, b = 6.007 Å, c = 9.854 Å
α = 90.00°, β = 105.23°, γ = 90.00°
Positions (direct):
Sc 0.685 0.404 0.371
Sc 0.861 0.264 0.722
Sc 0.747 0.885 0.495
Ag 0.602 0.019 0.203
Sc 0.542 0.595 0.085
Sc 0.315 0.904 0.629
Tm 0.064 0.267 0.127
Sc 0.253 0.385 0.505
Tm 0.936 0.767 0.873
Sc 0.139 0.764 0.278
Ag 0.398 0.519 0.797
Sc 0.458 0.095 0.915

Results
Distance to the lowest polymorph of the same formula, eV per formula unit: 0.55
Spin magnetization, μB per formula unit: 0.0
Energy of formation from the pure elements, kJ/mol of atoms: 5

---

Below is a relaxed structure of TmScAg, with properties calculated at the PBE level.

a = 3.483 Å, b = 4.870 Å, c = 4.870 Å
α = 120.00°, β = 90.00°, γ = 90.00°
Positions (direct):
Tm 0.628 0.667 0.333
Sc 0.086 0.000 0.000
Ag 0.286 0.333 0.667

Results
Distance to the lowest polymorph of the same formula, eV per formula unit: 0.35
Spin magnetization, μB per formula unit: 0.0
Energy of formation from the pure elements, kJ/mol of atoms: -4

---

Below is a relaxed structure of Tm3ScAg, with properties calculated at the PBE level.

a = 6.467 Å, b = 6.467 Å, c = 8.325 Å
α = 88.67°, β = 120.05°, γ = 112.66°
Positions (direct):
Tm 0.735 0.915 0.146
Tm 0.819 0.445 0.264
Sc 0.320 0.940 0.259
Ag 0.261 0.240 0.501
Tm 0.769 0.590 0.854
Tm 0.265 0.085 0.854
Tm 0.181 0.555 0.736
Tm 0.231 0.410 0.146
Ag 0.739 0.760 0.499
Sc 0.680 0.060 0.741

Results
Spin magnetization, μB per formula unit: 0.0
Energy of formation from the pure elements, kJ/mol of atoms: 0

---

Below is a relaxed structure of TmSc2Ag3, with properties calculated at the PBE level.

a = 3.467 Å, b = 3.467 Å, c = 10.565 Å
α = 90.00°, β = 90.00°, γ = 90.00°
Positions (direct):
Ag 0.000 0.000 0.680
Ag 0.000 0.000 0.320
Tm 0.500 0.500 0.500
Sc 0.500 0.500 0.838
Sc 0.500 0.500 0.162
Ag 0.000 0.000 0.000

Results
Spin magnetization, μB per formula unit: 0.0
Energy of formation from the pure elements, kJ/mol of atoms: -28

---

Below is a relaxed structure of TmSc3Ag, with properties calculated at the PBE level.

a = 3.417 Å, b = 6.293 Å, c = 11.695 Å
α = 85.69°, β = 89.99°, γ = 74.24°
Each line ends with the local moment (μB).
Positions (direct):
Sc 0.968 0.063 0.816  0.17
Sc 0.032 0.937 0.184  0.17
Tm 0.765 0.471 0.249  0.19
Sc 0.140 0.720 0.456  0.32
Sc 0.860 0.280 0.544  0.32
Ag 0.550 0.900 0.633  0.01
Ag 0.450 0.100 0.367  0.01
Sc 0.635 0.730 0.983  0.07
Tm 0.235 0.529 0.751  0.19
Sc 0.365 0.270 0.017  0.07

Results
Distance to the lowest polymorph of the same formula, eV per formula unit: 0.00
Spin magnetization, μB per formula unit: 1.2
Energy of formation from the pure elements, kJ/mol of atoms: -8

---

Below is a relaxed structure of Tm4ScAg5, with properties calculated at the PBE level.

a = 3.527 Å, b = 3.527 Å, c = 18.075 Å
α = 90.00°, β = 90.00°, γ = 90.00°
Positions (direct):
Ag 0.500 0.500 0.909
Tm 0.000 0.000 0.805
Ag 0.500 0.500 0.297
Sc 0.000 0.000 0.000
Tm 0.000 0.000 0.398
Ag 0.500 0.500 0.091
Ag 0.500 0.500 0.703
Tm 0.000 0.000 0.602
Tm 0.000 0.000 0.195
Ag 0.500 0.500 0.500

Results
Spin magnetization, μB per formula unit: 0.0
Energy of formation from the pure elements, kJ/mol of atoms: -31

---

Below is a relaxed structure of TmSc4Ag, with properties calculated at the PBE level.

a = 3.344 Å, b = 3.344 Å, c = 12.907 Å
α = 89.99°, β = 89.99°, γ = 90.00°
Each line ends with the local moment (μB).
Positions (direct):
Ag 0.500 0.500 0.500  0.02
Sc 0.000 0.000 0.642  0.26
Sc 0.500 0.500 0.814  0.18
Tm 0.000 0.000 0.000  -0.09
Sc 0.000 0.000 0.358  0.26
Sc 0.500 0.500 0.186  0.18

Results
Distance to the lowest polymorph of the same formula, eV per formula unit: 0.00
Spin magnetization, μB per formula unit: 1.4
Energy of formation from the pure elements, kJ/mol of atoms: -4

---

Below is a relaxed structure of TmScAg, with properties calculated at the PBE level.

a = 4.501 Å, b = 4.501 Å, c = 7.266 Å
α = 90.00°, β = 90.00°, γ = 90.00°
Positions (direct):
Ag 0.000 0.500 0.253
Tm 0.000 0.500 0.861
Tm 0.500 0.000 0.139
Ag 0.500 0.000 0.747
Sc 0.000 0.000 0.500
Sc 0.500 0.500 0.500

Results
Distance to the lowest polymorph of the same formula, eV per formula unit: 0.06
Spin magnetization, μB per formula unit: 0.0
Energy of formation from the pure elements, kJ/mol of atoms: -13

---

Below is a relaxed structure of YTmScAg, with properties calculated at the PBE level.

a = 3.497 Å, b = 3.497 Å, c = 8.480 Å
α = 90.00°, β = 90.00°, γ = 90.00°
Positions (direct):
Sc 0.000 0.000 0.076
Tm 0.500 0.500 0.345
Ag 0.000 0.000 0.564
Y 0.500 0.500 0.800

Results
Distance to the lowest polymorph of the same formula, eV per formula unit: 0.00
Spin magnetization, μB per formula unit: 0.0
Energy of formation from the pure elements, kJ/mol of atoms: -11

---

Below is a relaxed structure of YTmScAg, with properties calculated at the PBE level.

a = 5.245 Å, b = 5.245 Å, c = 5.245 Å
α = 60.00°, β = 60.00°, γ = 60.00°
Positions (direct):
Tm 0.250 0.250 0.250
Ag 0.500 0.500 0.500
Sc 0.000 0.000 0.000
Y 0.750 0.750 0.750

Results
Distance to the lowest polymorph of the same formula, eV per formula unit: 0.59
Spin magnetization, μB per formula unit: 0.0
Energy of formation from the pure elements, kJ/mol of atoms: 3

---

Below is a relaxed structure of ScVAg2, with properties calculated at the PBE level.

a = 7.540 Å, b = 7.540 Å, c = 6.010 Å
α = 51.15°, β = 51.15°, γ = 90.00°
Each line ends with the local moment (μB).
Positions (direct):
V 0.000 0.000 0.000  2.23
Ag 0.375 0.356 0.750  0.04
Sc 0.250 0.750 0.500  0.02
Ag 0.644 0.125 0.250  0.04
V 0.750 0.250 0.500  2.23
Ag 0.106 0.625 0.250  0.04
Sc 0.500 0.500 0.000  0.02
Ag 0.875 0.894 0.750  0.04

Results
Distance to the lowest polymorph of the same formula, eV per formula unit: 1.31
Spin magnetization, μB per formula unit: 2.7
Energy of formation from the pure elements, kJ/mol of atoms: 44

---

Below is a relaxed structure of Sc2V2Ag, with properties calculated at the PBE level.

a = 7.571 Å, b = 7.571 Å, c = 3.312 Å
α = 90.00°, β = 90.00°, γ = 90.00°
Each line ends with the local moment (μB).
Positions (direct):
V 0.591 0.091 0.000  0.25
Ag 0.000 0.000 0.000  0.01
Ag 0.500 0.500 0.000  0.01
Sc 0.701 0.799 0.500  0.05
Sc 0.299 0.201 0.500  0.05
Sc 0.201 0.701 0.500  0.05
V 0.409 0.909 0.000  0.25
V 0.909 0.591 0.000  0.25
Sc 0.799 0.299 0.500  0.05
V 0.091 0.409 0.000  0.25

Results
Spin magnetization, μB per formula unit: 0.8
Energy of formation from the pure elements, kJ/mol of atoms: 24

---

Below is a relaxed structure of ScVAg3, with properties calculated at the PBE level.

a = 4.898 Å, b = 4.898 Å, c = 4.898 Å
α = 90.00°, β = 90.00°, γ = 90.00°
Each line ends with the local moment (μB).
Positions (direct):
Ag 0.000 0.500 0.000  0.10
Sc 0.500 0.500 0.500  -0.14
Ag 0.500 0.000 0.000  0.10
V 0.000 0.000 0.000  2.37
Ag 0.000 0.000 0.500  0.10

Results
Distance to the lowest polymorph of the same formula, eV per formula unit: 0.00
Spin magnetization, μB per formula unit: 2.8
Energy of formation from the pure elements, kJ/mol of atoms: 84

---

Below is a relaxed structure of ScV3Ag, with properties calculated at the PBE level.

a = 4.874 Å, b = 4.874 Å, c = 4.874 Å
α = 90.00°, β = 90.00°, γ = 90.00°
Each line ends with the local moment (μB).
Positions (direct):
V 0.000 0.000 0.500  2.32
Sc 0.500 0.500 0.500  0.29
V 0.000 0.500 0.000  2.32
Ag 0.000 0.000 0.000  0.22
V 0.500 0.000 0.000  2.32

Results
Distance to the lowest polymorph of the same formula, eV per formula unit: 0.00
Spin magnetization, μB per formula unit: 9.2
Energy of formation from the pure elements, kJ/mol of atoms: 141

---

Below is a relaxed structure of ScVAg2, with properties calculated at the PBE level.

a = 4.718 Å, b = 4.718 Å, c = 4.718 Å
α = 60.00°, β = 60.00°, γ = 60.00°
Each line ends with the local moment (μB).
Positions (direct):
Ag 0.250 0.250 0.250  0.05
Sc 0.000 0.000 0.000  0.08
V 0.500 0.500 0.500  2.43
Ag 0.750 0.750 0.750  0.05

Results
Distance to the lowest polymorph of the same formula, eV per formula unit: 0.00
Spin magnetization, μB per formula unit: 3.1
Energy of formation from the pure elements, kJ/mol of atoms: 13

---

Below is a relaxed structure of ScV3Ag, with properties calculated at the PBE level.

a = 4.528 Å, b = 4.528 Å, c = 4.528 Å
α = 90.00°, β = 90.00°, γ = 90.00°
Each line ends with the local moment (μB).
Positions (direct):
Ag 0.500 0.500 0.500  0.02
Sc 0.000 0.000 0.000  0.13
V 0.000 0.500 0.000  1.26
V 0.500 0.000 0.000  1.26
V 0.000 0.000 0.500  1.26

Results
Distance to the lowest polymorph of the same formula, eV per formula unit: 0.84
Spin magnetization, μB per formula unit: 4.5
Energy of formation from the pure elements, kJ/mol of atoms: 157